Compound: Au2SF
Source: Alexandria via LeMat-Bulk
Functional: GGA-PBE
Structure: optimized geometry

Lattice parameters (Å, degrees): 4.4546 4.4546 4.4546 60.00 60.00 60.00
Atoms (fractional coordinates):
Au  0.2500  0.2500  0.2500
Au  0.7500  0.7500  0.7500
S  0.0000  0.0000  0.0000
F  0.5000  0.5000  0.5000

Values from the calculation:
ΔE_f (raw)   0.017 eV/atom
Raw total energy   -12.48 eV for the cell shown
Space group   No. 225
Total magnetization   0.00 μB/cell